(1)
A plane-wave DFT calculation with PBE was carried out for a relaxed structure of Tl5CdIn2.

Calculated values
DOS(E_F) ... 0.330 states/eV per atom
Final energy ... -17.9 eV per formula unit
Total moment ... 0.00 μB per atom

a = 5.7129 Å, b = 12.4222 Å, c = 13.3386 Å
α = 90.00°, β = 90.00°, γ = 90.00°
Space group Cmcm (No. 63)
Symmetry-distinct sites (fractional):
1 Tl 0.0000 0.0639 0.2500 [4 per cell]
2 Tl 0.0000 0.1294 0.5192 [8 per cell]
3 Tl 0.0000 0.4144 0.6119 [8 per cell]
4 Cd 0.0000 0.1977 0.7500 [4 per cell]
5 In 0.0000 0.3257 0.1351 [8 per cell]

(2)
A plane-wave DFT calculation with PBE was carried out for a relaxed structure of SrIn2Cu.

Calculated values
DOS(E_F) ... 0.531 states/eV per atom
Final energy ... -11.8 eV per formula unit
Total moment ... 0.00 μB per atom

a = 3.5356 Å, b = 3.5356 Å, c = 7.8530 Å
α = 90.00°, β = 90.00°, γ = 90.00°
Space group P4/mmm (No. 123)
Symmetry-distinct sites (fractional):
1 Sr 0.0000 0.0000 0.0000 [1 per cell]
2 In 0.5000 0.5000 0.3091 [2 per cell]
3 Cu 0.0000 0.0000 0.5000 [1 per cell]

(3)
A plane-wave DFT calculation with PBE was carried out for a relaxed structure of AlCr2Fe.

Calculated values
DOS(E_F) ... 1.061 states/eV per atom
Final energy ... -31.7 eV per formula unit
Total moment ... 0.21 μB per atom

a = 2.8756 Å, b = 2.8756 Å, c = 5.7617 Å
α = 90.00°, β = 90.00°, γ = 90.00°
Space group P4mm (No. 99)
Symmetry-distinct sites (fractional):
1 Al 0.0000 0.0000 0.0000 [1 per cell]
2 Cr 0.0000 0.0000 0.5001 [1 per cell]
3 Cr 0.5000 0.5000 0.2787 [1 per cell]
4 Fe 0.5000 0.5000 0.7469 [1 per cell]

(4)
A plane-wave DFT calculation with PBE was carried out for a relaxed structure of CoRhSe2.

Calculated values
DOS(E_F) ... 0.954 states/eV per atom
Final energy ... -21.8 eV per formula unit
Uncorrected formation energy ... -9.91 kJ/mol of atoms
Total moment ... 0.00 μB per atom

a = 5.4736 Å, b = 5.4736 Å, c = 10.5603 Å
α = 90.00°, β = 90.00°, γ = 90.00°
Space group I-42d (No. 122)
Symmetry-distinct sites (fractional):
1 Co 0.0000 0.0000 0.0000 [4 per cell]
2 Rh 0.0000 0.0000 0.5000 [4 per cell]
3 Se 0.2269 0.2500 0.1250 [8 per cell]

(5)
A plane-wave DFT calculation with PBE was carried out for a relaxed structure of SiNiSn3.

Calculated values
DOS(E_F) ... 0.739 states/eV per atom
Final energy ... -18.7 eV per formula unit
Uncorrected formation energy ... 86.95 kJ/mol of atoms
Total moment ... 0.00 μB per atom

a = 5.1511 Å, b = 5.1511 Å, c = 5.1511 Å
α = 90.00°, β = 90.00°, γ = 90.00°
Space group Pm-3m (No. 221)
Symmetry-distinct sites (fractional):
1 Si 0.0000 0.0000 0.0000 [1 per cell]
2 Ni 0.5000 0.5000 0.5000 [1 per cell]
3 Sn 0.0000 0.0000 0.5000 [3 per cell]

(6)
A plane-wave DFT calculation with PBE was carried out for a relaxed structure of K3Dy2PaTe6.

Calculated values
DOS(E_F) ... 0.832 states/eV per atom
Final energy ... -55.4 eV per formula unit
Uncorrected formation energy ... -117.44 kJ/mol of atoms
Total moment ... 0.16 μB per atom

a = 7.7505 Å, b = 13.4267 Å, c = 8.6989 Å
α = 90.00°, β = 107.26°, γ = 90.00°
Space group C2/m (No. 12)
Symmetry-distinct sites (fractional):
1 K 0.0000 0.0000 0.0000 [2 per cell]
2 K 0.0000 0.3335 0.0000 [4 per cell]
3 Dy 0.0000 0.1666 0.5000 [4 per cell]
4 Pa 0.0000 0.5000 0.5000 [2 per cell]
5 Te 0.2355 0.0000 0.7112 [4 per cell]
6 Te 0.2379 0.3325 0.7112 [8 per cell]